# 1
5
Lattice="5.7095 0.0000 0.0000 0.0000 5.7095 0.0000 0.0000 0.0000 5.4349" Properties=species:S:1:pos:R:3 comment="SrLa2ScGa, optimized geometry, DFT GGA-PBE" magmom_total_mub_per_cell=0.626 formation_enthalpy_0k_ev_per_atom=0.29 total_energy_ev_per_atom=-3.8905 pbc="T T T"
Sr 0.0000 0.0000 0.0000
La 0.0000 2.8547 2.7175
La 2.8547 0.0000 2.7175
Sc 2.8547 2.8547 2.7175
Ga 2.8547 2.8547 0.0000

# 2
8
Lattice="2.4535 1.4165 10.1306 -2.4535 1.4165 10.1306 0.0000 -2.8331 10.1306" Properties=species:S:1:pos:R:3 comment="BaAlIn4Ag2, optimized geometry, DFT GGA-PBE" magmom_total_mub_per_cell=0.000 formation_enthalpy_0k_ev_per_atom=-0.11 total_energy_ev_per_atom=-2.9014 pbc="T T T"
Ba 0.0000 0.0000 0.0000
Al 0.0000 0.0000 15.1959
In 0.0000 0.0000 3.9402
In 0.0000 0.0000 12.2883
In 0.0000 0.0000 18.1035
In 0.0000 0.0000 26.4516
Ag 0.0000 0.0000 7.2644
Ag 0.0000 0.0000 23.1274

# 3
11
Lattice="4.1066 -5.4068 0.0000 4.1066 5.4068 0.0000 0.0000 0.0000 7.0571" Properties=species:S:1:pos:R:3 comment="Er7Tl2Ir2, optimized geometry, DFT GGA-PBE" magmom_total_mub_per_cell=0.001 formation_enthalpy_0k_ev_per_atom=-0.44 total_energy_ev_per_atom=-5.3856 pbc="T T T"
Er 0.0000 0.0000 0.0000
Er 2.0533 2.7034 1.7343
Er 2.0533 2.7034 5.3228
Er 2.0533 -2.7034 1.7343
Er 2.0533 -2.7034 5.3228
Er 4.1066 0.0000 1.6794
Er 4.1066 0.0000 5.3777
Tl 1.5050 0.0000 3.5286
Tl 6.7083 0.0000 3.5286
Ir 4.1066 2.3096 0.0000
Ir 4.1066 -2.3096 0.0000

# 4
16
Lattice="4.1634 -8.4022 0.0000 4.1634 8.4022 0.0000 -4.0570 0.0000 5.9222" Properties=species:S:1:pos:R:3 comment="Th2GeS, optimized geometry, DFT GGA-PBE" magmom_total_mub_per_cell=0.000 formation_energy_uncorrected_ev_per_atom=-1.3274 total_energy_ev_per_atom=-7.2235 de_polymorph_ev_per_fu=0.000 pbc="T T T"
Th 1.0138 3.1537 1.5112
Th -0.9580 1.0538 4.4214
Th 1.0705 -1.0538 1.4603
Th -1.0147 -3.1537 4.4723
Th 5.2845 3.1537 1.4499
Th 3.1993 1.0538 4.4619
Th 5.2278 -1.0538 1.5008
Th 3.2560 -3.1537 4.4110
Ge 3.1491 5.2300 1.4806
Ge 3.1491 1.0733 1.4806
Ge 1.1206 -1.0733 4.4417
Ge 1.1206 -5.2300 4.4417
S 1.1206 7.4038 4.4417
S 1.1206 3.1049 4.4417
S 3.1491 -3.1049 1.4806
S 3.1491 -7.4038 1.4806

# 5
4
Lattice="2.9630 0.0000 0.0000 0.0000 2.7984 0.0000 -0.1050 0.0000 7.9443" Properties=species:S:1:pos:R:3 comment="Al2CoHg, optimized geometry, DFT GGA-PBE" magmom_total_mub_per_cell=0.276 formation_enthalpy_0k_ev_per_atom=-0.21 total_energy_ev_per_atom=-3.9329 de_polymorph_ev_per_fu=0.000 pbc="T T T"
Al 0.0006 0.0000 1.4189
Al 2.8573 0.0000 6.5254
Co 1.4815 1.3992 0.0000
Hg -0.0525 1.3992 3.9722

# 6
16
Lattice="8.6698 0.0000 0.0000 0.0000 8.6698 0.0000 0.0000 0.0000 6.4252" Properties=species:S:1:pos:R:3 comment="NaTlSb2, optimized geometry, DFT GGA-PBE" magmom_total_mub_per_cell=0.000 formation_energy_uncorrected_ev_per_atom=-0.0145 total_energy_ev_per_atom=-2.9970 de_polymorph_ev_per_fu=0.538 pbc="T T T"
Na 0.0000 0.0000 0.0000
Na 0.0000 4.3349 1.6063
Na 4.3349 0.0000 4.8189
Na 4.3349 4.3349 3.2126
Tl 0.0000 0.0000 3.2126
Tl 0.0000 4.3349 4.8189
Tl 4.3349 0.0000 1.6063
Tl 4.3349 4.3349 0.0000
Sb 1.9036 2.1675 4.0157
Sb 2.1675 6.2385 5.6220
Sb 2.1675 6.7662 2.4094
Sb 2.4313 2.1675 0.8031
Sb 6.2385 6.5024 0.8031
Sb 6.5024 1.9036 2.4094
Sb 6.5024 2.4313 5.6220
Sb 6.7662 6.5024 4.0157

In the order shown, the computed calculated density values come out to 4.5, 6.6, 10.4, 9.1, 7.9, 6.5 g cm⁻³.